Record 1
RbAlAs2Br | PBE | relaxed

Summary:
ΔE_f (raw) ... 1.031 eV per atom
Crystal system ... tetragonal

Cell and atoms, written as CIF:
```
data_RbAlAs2Br
_symmetry_space_group_name_H-M 'P 4/m m m'
_symmetry_Int_Tables_number 123
_symmetry_space_group_name_Hall '-P 4 2'
_cell_length_a 6.5444
_cell_length_b 6.5444
_cell_length_c 6.2690
_cell_angle_alpha 90.00
_cell_angle_beta 90.00
_cell_angle_gamma 90.00
loop_
_atom_site_label
_atom_site_type_symbol
_atom_site_fract_x
_atom_site_fract_y
_atom_site_fract_z
Rb1 Rb 0.0000 0.0000 0.0000
Al1 Al 0.5000 0.5000 0.5000
As1 As 0.0000 0.5000 0.0000
Br1 Br 0.0000 0.0000 0.5000
```

---

Record 2
CsKAs2Se | PBE | relaxed

Summary:
ΔE_f (raw) ... 0.599 eV per atom
Crystal system ... tetragonal

Cell and atoms, written as CIF:
```
data_CsKAs2Se
_symmetry_space_group_name_H-M 'P 4/m m m'
_symmetry_Int_Tables_number 123
_symmetry_space_group_name_Hall '-P 4 2'
_cell_length_a 5.9075
_cell_length_b 5.9075
_cell_length_c 6.0103
_cell_angle_alpha 90.00
_cell_angle_beta 90.00
_cell_angle_gamma 90.00
loop_
_atom_site_label
_atom_site_type_symbol
_atom_site_fract_x
_atom_site_fract_y
_atom_site_fract_z
Cs1 Cs 0.0000 0.0000 0.0000
K1 K 0.5000 0.5000 0.5000
As1 As 0.0000 0.5000 0.5000
Se1 Se 0.5000 0.5000 0.0000
```

---

Record 3
Ca3NdPa2P6 | PBE | relaxed

Summary:
Crystal system ... monoclinic
Formation energy from the elements ... -1308 meV per atom

Cell and atoms, written as CIF:
```
data_Ca3NdPa2P6
_symmetry_space_group_name_H-M 'C 1 2/m 1'
_symmetry_Int_Tables_number 12
_cell_length_a 7.1070
_cell_length_b 12.3074
_cell_length_c 7.0512
_cell_angle_alpha 90.00
_cell_angle_beta 109.66
_cell_angle_gamma 90.00
loop_
_symmetry_equiv_pos_as_xyz
'x,y,z'
'-x,-y,-z'
'-x,y,-z'
'x,-y,z'
'x+1/2,y+1/2,z'
'-x+1/2,-y+1/2,-z'
'-x+1/2,y+1/2,-z'
'x+1/2,-y+1/2,z'
loop_
_atom_site_label
_atom_site_type_symbol
_atom_site_fract_x
_atom_site_fract_y
_atom_site_fract_z
Ca1 Ca 0.0000 0.0000 0.0000
Ca2 Ca 0.0000 0.3363 0.0000
Nd1 Nd 0.0000 0.5000 0.5000
Pa1 Pa 0.0000 0.1671 0.5000
P1 P 0.2300 0.0000 0.7330
P2 P 0.2485 0.1740 0.2682
```

---

Record 4
LiPmPbBr6 | PBE | relaxed

Summary:
ΔE_f (raw) ... -1.459 eV per atom
Crystal system ... trigonal

Cell and atoms, written as CIF:
```
data_LiPmPbBr6
_symmetry_space_group_name_H-M 'P -3 1 c'
_symmetry_Int_Tables_number 163
_symmetry_space_group_name_Hall '-P 3 2c'
_cell_length_a 7.2089
_cell_length_b 7.2089
_cell_length_c 13.2945
_cell_angle_alpha 90.00
_cell_angle_beta 90.00
_cell_angle_gamma 120.00
loop_
_atom_site_label
_atom_site_type_symbol
_atom_site_fract_x
_atom_site_fract_y
_atom_site_fract_z
Li1 Li 0.3333 0.6667 0.2500
Pm1 Pm 0.3333 0.6667 0.7500
Pb1 Pb 0.0000 0.0000 0.0000
Br1 Br 0.0114 0.3581 0.1295
```

---

Record 5
Ba3Mn5Te12 | PBE | relaxed

Summary:
ΔE_f (raw) ... -0.512 eV per atom
Crystal system ... cubic

Cell and atoms, written as CIF:
```
data_Ba3Mn5Te12
_symmetry_space_group_name_H-M 'I a -3 d'
_symmetry_Int_Tables_number 230
_symmetry_space_group_name_Hall '-I 4bd 2c 3'
_cell_length_a 17.6017
_cell_length_b 17.6017
_cell_length_c 17.6017
_cell_angle_alpha 90.00
_cell_angle_beta 90.00
_cell_angle_gamma 90.00
loop_
_atom_site_label
_atom_site_type_symbol
_atom_site_fract_x
_atom_site_fract_y
_atom_site_fract_z
Ba1 Ba 0.0000 0.2500 0.1250
Mn1 Mn 0.0000 0.0000 0.0000
Mn2 Mn 0.0000 0.2500 0.3750
Te1 Te 0.0374 0.0521 0.6423
```

---

Record 6
Ti3Al3VCu2 | PBE | relaxed

Summary:
Crystal system ... hexagonal
Formation energy from the elements ... -157 meV per atom

Cell and atoms, written as CIF:
```
data_Ti3Al3VCu2
_symmetry_space_group_name_H-M 'P -6 2 m'
_symmetry_Int_Tables_number 189
_symmetry_space_group_name_Hall 'P -6 -2'
_cell_length_a 7.4382
_cell_length_b 7.4382
_cell_length_c 2.8692
_cell_angle_alpha 90.00
_cell_angle_beta 90.00
_cell_angle_gamma 120.00
loop_
_atom_site_label
_atom_site_type_symbol
_atom_site_fract_x
_atom_site_fract_y
_atom_site_fract_z
Ti1 Ti 0.0000 0.7103 0.0000
Al1 Al 0.0000 0.3708 0.5000
V1 V 0.0000 0.0000 0.5000
Cu1 Cu 0.3333 0.6667 0.0000
```

---

no.,energy (eV/atom),spin magnetization (Bohr magnetons per cell)
1,-2.11,5.0
2,-2.35,2.2
3,-6.49,0.0
4,-3.73,0.0
5,-4.98,135.8
6,-5.96,0.0